Record 1
CdIn3Te4, optimized geometry, DFT PBE-GGA; space-group type = Pmn2_1; raw formation energy = -301.3 meV per atom; raw total energy = -3.013 eV/atom
1.0
12.483 0.000 0.000
0.000 6.228 0.000
0.000 0.000 6.227
Cd In Te
2 6 8
Cartesian
0.000 1.552 0.000
6.241 4.676 3.114
0.000 4.672 3.109
3.121 1.559 3.110
3.121 4.669 6.224
6.241 1.556 6.223
9.362 1.559 3.110
9.362 4.669 6.224
0.000 1.558 3.111
0.000 4.668 6.222
3.088 1.555 6.223
3.154 4.672 3.109
6.241 1.560 3.109
6.241 4.670 6.224
9.329 4.672 3.109
9.395 1.555 6.223

Record 2
CdInTe, optimized geometry, DFT PBE-GGA; space-group type = Imm2; raw formation energy = -9.4 meV per atom; raw total energy = -2.275 eV/atom; excess energy over the best structure of this formula in the dataset = 146 meV/atom
1.0
3.359 0.000 0.000
0.000 4.072 0.000
0.000 0.000 12.273
Cd In Te
2 2 2
Cartesian
0.000 0.000 0.000
1.680 2.036 6.136
0.000 0.000 8.151
1.680 2.036 2.015
0.000 0.000 4.192
1.680 2.036 10.328

Record 3
Cd2InTe3, optimized geometry, DFT PBE-GGA; space-group type = P3m1; raw formation energy = -325.1 meV per atom; raw total energy = -2.657 eV/atom
1.0
4.779 0.000 0.000
-2.389 4.138 0.000
0.000 0.000 11.702
Cd In Te
2 1 3
Cartesian
0.000 0.000 0.000
0.000 2.759 7.943
2.389 1.379 3.999
0.000 0.000 2.909
0.000 2.759 10.819
2.389 1.379 7.006

Record 4
CdInTe, optimized geometry, DFT PBE-GGA; space-group type = P3m1; raw formation energy = 0.0 meV per atom; raw total energy = -2.265 eV/atom; excess energy over the best structure of this formula in the dataset = 156 meV/atom
1.0
5.561 0.000 0.000
-2.780 4.816 0.000
0.000 0.000 3.196
Cd In Te
1 1 1
Cartesian
0.000 0.000 0.000
2.780 1.605 1.726
0.000 3.210 3.028

Record 5
Cd3In12Te5, optimized geometry, DFT PBE-GGA; space-group type = Ia-3d; raw formation energy = 4.8 meV per atom; raw total energy = -2.561 eV/atom
1.0
-8.919 8.919 8.919
8.919 -8.919 8.919
8.919 8.919 -8.919
Cd In Te
12 48 20
Cartesian
4.459 2.230 0.000
8.919 4.459 -2.230
2.230 0.000 4.459
11.149 0.000 4.459
0.000 4.459 2.230
4.459 -2.230 8.919
4.459 11.149 0.000
8.919 4.459 6.689
-2.230 8.919 4.459
6.689 8.919 4.459
0.000 4.459 11.149
4.459 6.689 8.919
2.766 -0.181 1.419
10.612 5.878 -4.640
8.738 -1.419 2.766
13.559 -1.693 3.041
11.685 0.181 1.419
10.612 -3.041 4.640
1.419 2.766 -0.181
11.959 4.279 -1.693
5.878 4.640 -1.693
7.500 2.766 0.181
-0.181 1.419 2.766
4.640 -1.693 5.878
8.738 7.500 -2.766
4.640 1.693 3.041
7.500 -2.766 8.738
5.878 -4.640 10.612
3.041 4.640 1.693
10.338 6.152 0.181
2.766 8.738 -1.419
10.612 3.041 4.279
4.640 10.612 -3.041
8.738 1.419 6.152
1.693 3.041 4.640
2.766 0.181 7.500
6.152 8.738 1.419
7.226 5.878 4.279
0.181 7.500 2.766
4.279 -1.693 11.959
-1.693 5.878 4.640
6.152 0.181 10.338
-1.419 2.766 8.738
5.878 4.279 7.226
3.041 13.559 -1.693
1.419 11.685 0.181
4.279 7.226 5.878
0.181 1.419 11.685
4.279 10.612 3.041
9.100 7.500 6.152
1.419 6.152 8.738
3.041 4.279 10.612
-3.041 4.640 10.612
7.500 6.152 9.100
-1.693 11.959 4.279
-2.766 8.738 7.500
-4.640 10.612 5.878
0.181 10.338 6.152
-1.693 3.041 13.559
6.152 9.100 7.500
0.000 0.000 0.000
4.459 4.459 -4.459
4.459 -4.459 4.459
8.919 0.000 0.000
13.378 2.230 0.000
8.919 -4.459 6.689
6.689 8.919 -4.459
6.689 0.000 4.459
4.459 6.689 0.000
8.919 4.459 2.230
-4.459 4.459 4.459
0.000 8.919 0.000
0.000 0.000 8.919
4.459 4.459 4.459
0.000 4.459 6.689
4.459 2.230 8.919
2.230 8.919 4.459
2.230 0.000 13.378
0.000 13.378 2.230
-4.459 6.689 8.919

Record 6
CdIn2Te2, optimized geometry, DFT PBE-GGA; space-group type = I4/mmm; raw formation energy = -25.1 meV per atom; raw total energy = -2.560 eV/atom; excess energy over the best structure of this formula in the dataset = 70 meV/atom
1.0
5.397 0.000 0.000
0.000 5.397 0.000
0.000 0.000 12.887
Cd In Te
2 4 4
Cartesian
0.000 0.000 0.000
2.698 2.698 6.443
0.000 2.698 3.222
0.000 2.698 9.665
2.698 0.000 3.222
2.698 0.000 9.665
0.000 0.000 4.593
0.000 0.000 8.294
2.698 2.698 1.851
2.698 2.698 11.036

Record 7
CdInTe3, optimized geometry, DFT PBE-GGA; space-group type = Pnma; raw formation energy = -165.2 meV per atom; raw total energy = -2.781 eV/atom; excess energy over the best structure of this formula in the dataset = 0 meV/atom
1.0
7.920 0.000 0.000
0.000 12.087 0.000
0.000 0.000 7.574
Cd In Te
4 4 12
Cartesian
0.000 0.000 0.000
0.000 6.044 0.000
3.960 0.000 3.787
3.960 6.044 3.787
1.347 3.022 3.332
2.613 9.065 7.119
5.307 3.022 0.455
6.573 9.065 4.242
0.263 3.022 0.718
1.193 0.533 4.687
1.193 5.511 4.687
2.767 6.577 0.900
2.767 11.554 0.900
3.697 9.065 4.505
4.223 3.022 3.069
5.153 0.533 6.674
5.153 5.511 6.674
6.727 6.577 2.887
6.727 11.554 2.887
7.657 9.065 6.855

Record 8
CdInTe, optimized geometry, DFT PBE-GGA; space-group type = F-43m; raw formation energy = -30.7 meV per atom; raw total energy = -2.296 eV/atom; excess energy over the best structure of this formula in the dataset = 125 meV/atom
1.0
7.298 0.000 0.000
0.000 7.298 0.000
0.000 0.000 7.298
Cd In Te
4 4 4
Cartesian
0.000 0.000 0.000
0.000 3.649 3.649
3.649 0.000 3.649
3.649 3.649 0.000
1.824 1.824 1.824
1.824 5.473 5.473
5.473 1.824 5.473
5.473 5.473 1.824
1.824 1.824 5.473
1.824 5.473 1.824
5.473 1.824 1.824
5.473 5.473 5.473

Record 9
CdIn2Te2, optimized geometry, DFT PBE-GGA; space-group type = P4/mbm; raw formation energy = -68.9 meV per atom; raw total energy = -2.604 eV/atom; excess energy over the best structure of this formula in the dataset = 26 meV/atom
1.0
8.535 0.000 0.000
0.000 8.535 0.000
0.000 0.000 4.050
Cd In Te
2 4 4
Cartesian
0.000 0.000 0.000
4.267 4.267 0.000
1.247 3.020 0.000
3.020 7.288 0.000
5.514 1.247 0.000
7.288 5.514 0.000
1.335 5.602 2.025
2.933 1.335 2.025
5.602 7.200 2.025
7.200 2.933 2.025

Record 10
CdInTe4, optimized geometry, DFT PBE-GGA; space-group type = F-43m; raw formation energy = 197.0 meV per atom; raw total energy = -2.506 eV/atom
1.0
0.000 4.589 4.589
4.589 0.000 4.589
4.589 4.589 0.000
Cd In Te
1 1 4
Cartesian
0.000 0.000 0.000
6.884 6.884 6.884
3.430 3.430 3.430
5.749 5.749 3.430
5.749 3.430 5.749
3.430 5.749 5.749

Record 11
TlCdInTe, optimized geometry, DFT PBE-GGA; space-group type = F-43m; raw formation energy = -45.8 meV per atom; raw total energy = -2.336 eV/atom
1.0
7.962 0.000 0.000
0.000 7.962 0.000
0.000 0.000 7.962
Tl Cd In Te
4 4 4 4
Cartesian
0.000 0.000 0.000
0.000 3.981 3.981
3.981 0.000 3.981
3.981 3.981 0.000
1.990 1.990 1.990
1.990 5.971 5.971
5.971 1.990 5.971
5.971 5.971 1.990
0.000 0.000 3.981
0.000 3.981 0.000
3.981 0.000 0.000
3.981 3.981 3.981
1.990 1.990 5.971
1.990 5.971 1.990
5.971 1.990 1.990
5.971 5.971 5.971

Record 12
TlCdInTe3, optimized geometry, DFT PBE-GGA; space-group type = P2_1/m; raw formation energy = -304.9 meV per atom; raw total energy = -2.879 eV/atom
1.0
8.755 0.000 0.000
0.000 4.379 0.000
-2.617 0.000 11.048
Tl Cd In Te
2 2 2 6
Cartesian
1.509 1.095 2.774
4.629 3.284 8.274
0.467 3.284 10.155
5.672 1.095 0.893
-0.826 1.095 7.020
6.965 3.284 4.027
-1.614 1.095 9.676
0.587 3.284 5.798
3.769 3.284 1.900
2.370 1.095 9.148
5.552 1.095 5.250
7.753 3.284 1.372

The calculation returns the following size of the total moment values, one per record and in order: 0.00 0.00 0.00 0.00 0.00 0.00 0.00 0.00 0.00 0.00 0.00 0.00 μB/cell.